No. 1
# Ca2DyHoSe4 | Alexandria | GGA-PBE | optimized geometry
data_Ca2DyHoSe4
_space_group_name_H-M_alt 'P 1 2/m 1'
_space_group_IT_number 10
_space_group_name_Hall '-P 2y'
_cell_length_a 7.099
_cell_length_b 4.102
_cell_length_c 7.226
_cell_angle_alpha 90.00
_cell_angle_beta 109.16
_cell_angle_gamma 90.00
loop_
_atom_site_label
_atom_site_type_symbol
_atom_site_fract_x
_atom_site_fract_y
_atom_site_fract_z
Ca1 Ca 0.000 0.000 0.000
Ca2 Ca 0.500 0.500 0.000
Dy1 Dy 0.000 0.500 0.500
Ho1 Ho 0.500 0.000 0.500
Se1 Se 0.249 0.000 0.745
Se2 Se 0.253 0.500 0.256
# - DOS(E_F): 3.41 states/eV/cell
# - Energy: -42.057 eV/f.u.
# - Crystal system: monoclinic
# - Uncorrected formation energy: -14.94 eV/f.u.
# - Magnetic moment: 0.00 μB per cell

---

No. 2
# Tb2Pr2YHo | Alexandria | GGA-PBE | optimized geometry
data_Tb2Pr2YHo
_space_group_name_H-M_alt 'P m m a'
_space_group_IT_number 51
_space_group_name_Hall '-P 2a 2a'
_cell_length_a 7.081
_cell_length_b 5.688
_cell_length_c 9.873
_cell_angle_alpha 90.00
_cell_angle_beta 90.00
_cell_angle_gamma 90.00
loop_
_atom_site_label
_atom_site_type_symbol
_atom_site_fract_x
_atom_site_fract_y
_atom_site_fract_z
Tb1 Tb 0.250 0.000 0.164
Tb2 Tb 0.250 0.500 0.667
Pr1 Pr 0.000 0.500 0.000
Pr2 Pr 0.250 0.000 0.824
Y1 Y 0.000 0.000 0.500
Ho1 Ho 0.250 0.500 0.340
# - DFT formation energy: 6 kJ/mol of atoms
# - DOS(E_F): 18.40 states/eV/cell
# - Energy: -29.500 eV/f.u.
# - Crystal system: orthorhombic
# - Magnetic moment: 0.00 μB per cell

---

No. 3
# Pr3Nd7Tl | Alexandria | GGA-PBE | optimized geometry
data_Pr3Nd7Tl
_space_group_name_H-M_alt 'P 3 m 1'
_space_group_IT_number 156
_space_group_name_Hall 'P 3 -2"'
_cell_length_a 7.1863
_cell_length_b 7.1863
_cell_length_c 8.8130
_cell_angle_alpha 90.00
_cell_angle_beta 90.00
_cell_angle_gamma 120.00
loop_
_atom_site_label
_atom_site_type_symbol
_atom_site_fract_x
_atom_site_fract_y
_atom_site_fract_z
Pr1 Pr 0.0001 0.5000 0.0000
Nd1 Nd 0.1688 0.3376 0.3443
Nd2 Nd 0.3378 0.1689 0.6659
Nd3 Nd 0.6667 0.3333 0.3312
Tl1 Tl 0.3333 0.6667 0.6702
# - DFT formation energy: 10 kJ/mol of atoms
# - DOS(E_F): 16.63 states/eV/cell
# - Energy: -48.900 eV/f.u.
# - Crystal system: trigonal
# - Magnetic moment: 0.00 μB per cell

---

No. 4
# NaTlSbPd | Alexandria | GGA-PBE | optimized geometry
data_NaTlSbPd
_space_group_name_H-M_alt 'F -4 3 m'
_space_group_IT_number 216
_space_group_name_Hall 'F -4 2 3'
_cell_length_a 7.062
_cell_length_b 7.062
_cell_length_c 7.062
_cell_angle_alpha 90.00
_cell_angle_beta 90.00
_cell_angle_gamma 90.00
loop_
_atom_site_label
_atom_site_type_symbol
_atom_site_fract_x
_atom_site_fract_y
_atom_site_fract_z
Na1 Na 0.000 0.000 0.000
Tl1 Tl 0.250 0.250 0.750
Sb1 Sb 0.250 0.250 0.250
Pd1 Pd 0.000 0.000 0.500
# - DOS(E_F): 12.74 states/eV/cell
# - Energy: -13.691 eV/f.u.
# - Crystal system: cubic
# - Uncorrected formation energy: -0.69 eV/f.u.
# - Magnetic moment: 0.00 μB per cell

---

No. 5
# KTmMg2Cl8 | Alexandria | GGA-PBE | optimized geometry
data_KTmMg2Cl8
_space_group_name_H-M_alt 'C 1 2/m 1'
_space_group_IT_number 12
_space_group_name_Hall '-C 2y'
_cell_length_a 9.920
_cell_length_b 8.220
_cell_length_c 8.801
_cell_angle_alpha 90.00
_cell_angle_beta 103.43
_cell_angle_gamma 90.00
loop_
_atom_site_label
_atom_site_type_symbol
_atom_site_fract_x
_atom_site_fract_y
_atom_site_fract_z
K1 K 0.000 0.000 0.000
Tm1 Tm 0.000 0.000 0.500
Mg1 Mg 0.047 0.500 0.214
Cl1 Cl 0.019 0.222 0.719
Cl2 Cl 0.169 0.500 0.007
Cl3 Cl 0.233 0.500 0.455
# - DOS(E_F): 0.00 states/eV/cell
# - Energy: -47.179 eV/f.u.
# - Crystal system: monoclinic
# - Uncorrected formation energy: -23.65 eV/f.u.
# - Magnetic moment: 0.00 μB per cell